(1)
The following is a DFT calculation (GGA-PBE) of a relaxed structure of PdSeIN2.

a b c (Å): 3.9071 3.9071 8.5601
angles (deg): 90.00 90.00 90.00
Closest atoms and distances in Å follow each position.
Space group P4/mmm (No. 123)
Symmetry-distinct sites (fractional):
1 Pd 0.0000 0.0000 0.0000  4 N 1.95
2 Se 0.5000 0.5000 0.5000  4 I 2.76
3 I 0.0000 0.0000 0.5000  4 Se 2.76
4 N 0.0000 0.5000 0.0000  2 Pd 1.95

(2)
The following is a DFT calculation (GGA-PBE) of a relaxed structure of PdSeI2N.

a b c (Å): 5.9355 5.9355 3.6322
angles (deg): 90.00 90.00 90.00
Closest atoms and distances in Å follow each position.
Space group P4/mmm (No. 123)
Symmetry-distinct sites (fractional):
1 Pd 0.0000 0.0000 0.0000  8 I 3.48, 2 Pd 3.63
2 Se 0.5000 0.5000 0.5000  2 N 1.82
3 I 0.0000 0.5000 0.5000  2 Se 2.97
4 N 0.5000 0.5000 0.0000  2 Se 1.82

no.,formation energy (no corrections) (meV per atom),magnetization (μB per atom),polymorph energy (0 for the lowest one) (eV per atom)
1,1524,0.00,0.108
2,1008,0.12,0.145